Record 1
LaInSe4, relaxed, DFT PBE; energy relative to the lowest polymorph listed for this composition = 0 meV/atom; E_form (uncorrected) = -5.7 eV/f.u.
1.0
5.920 0.000 0.000
0.000 9.401 0.000
-2.650 0.000 6.866
La In Se
2 2 8
Cartesian
0.110 2.350 1.707 La
3.159 7.050 5.159 La
-0.274 7.050 2.177 In
3.543 2.350 4.689 In
0.969 5.179 0.637 Se
0.969 8.922 0.637 Se
0.187 7.050 4.685 Se
0.196 2.350 4.694 Se
3.074 7.050 2.172 Se
3.082 2.350 2.181 Se
2.300 0.479 6.229 Se
2.300 4.222 6.229 Se

Record 2
LaIn2Se2, relaxed, DFT PBE; E_form (uncorrected) = -3.9 eV/f.u.
1.0
7.854 0.000 0.000
0.000 7.854 0.000
0.000 0.000 4.673
La In Se
2 4 4
Cartesian
0.000 0.000 0.000 La
3.927 3.927 0.000 La
1.277 2.650 2.337 In
2.650 6.577 2.337 In
5.204 1.277 2.337 In
6.577 5.204 2.337 In
1.248 5.175 0.000 Se
2.678 1.248 0.000 Se
5.175 6.605 0.000 Se
6.605 2.678 0.000 Se

Record 3
LaInSe2, relaxed, DFT PBE; E_form (uncorrected) = -4.5 eV/f.u.
1.0
-4.003 4.003 4.177
4.003 -4.003 4.177
4.003 4.003 -4.177
La In Se
2 2 4
Cartesian
0.000 0.000 0.000 La
0.000 4.003 2.089 La
4.003 0.000 2.089 In
0.000 0.000 4.177 In
6.005 1.815 -1.044 Se
1.815 2.002 1.044 Se
-2.002 2.188 3.133 Se
2.188 2.002 5.221 Se